{
  "formula": "PrCuPt3",
  "functional": "GGA-PBE",
  "state": "relaxed",
  "relative_energy_mev_per_atom": 363,
  "ef_ev_per_atom": -0.238,
  "magnetic_moment_mub_per_fu": 0.0,
  "spacegroup": "No. 55",
  "rho_g_cm3": 12.724,
  "total_energy_ev_per_atom": -5.6376,
  "cell": [[-1.6324, -3.4408, 2.7468], [5.4120, -1.5481, 1.2770], [-0.0397, 4.7561, 5.9342]],
  "species": ["Pr", "Pr", "Pt", "Pt", "Pt", "Pt", "Pt", "Pt", "Cu", "Cu"],
  "fractional_positions": [[0.5000, 0.5000, 0.5000], [0.5000, 0.0000, 0.0000], [0.0000, 0.7527, 0.7515], [0.0000, 0.7473, 0.2515], [0.5000, 0.5000, 0.0000], [0.5000, 0.0000, 0.5000], [0.0000, 0.2473, 0.2485], [0.0000, 0.2527, 0.7485], [0.0000, 0.0000, 0.5000], [0.0000, 0.5000, 0.0000]]
}